{
  "formula": "CePrEr2",
  "functional": "PBE",
  "state": "optimized geometry",
  "e_form_ev_per_atom": 0.07,
  "dos_ef_per_ev_atom": 1.880,
  "final_energy_ev_per_atom": -4.885,
  "polymorph_energy_mev_per_atom": 16.8,
  "cell": [[5.073, 0.000, 0.000], [0.000, 5.073, 0.000], [0.000, 0.000, 4.943]],
  "species": ["Ce", "Pr", "Er", "Er"],
  "frac_coords": [[0.000, 0.000, 0.000], [0.500, 0.500, 0.000], [0.000, 0.500, 0.500], [0.500, 0.000, 0.500]]
}